Record 1
Density functional theory data (PBE) for a relaxed structure of K3Nd3PuO8.

- DFT total energy (eV per formula unit) = -112.0
- DOS at the Fermi energy (states/eV/f.u.) = 5.2
- formation energy from raw total energies (eV per atom) = -2.69
- mass density (Mg/m³) = 5.34

The structure in CIF format:
```
data_K3Nd3PuO8
_cell_length_a 7.218
_cell_length_b 7.218
_cell_length_c 7.597
_cell_angle_alpha 118.37
_cell_angle_beta 90.00
_cell_angle_gamma 120.00
_space_group_name_H-M_alt 'P 1'
_space_group_IT_number 1
loop_
_space_group_symop_operation_xyz
'x,y,z'
loop_
_atom_site_label
_atom_site_fract_x
_atom_site_fract_y
_atom_site_fract_z
K1 0.000 0.000 0.000
O1 0.215 0.962 0.677
O2 0.747 0.962 0.677
O3 0.215 0.430 0.677
O4 0.785 0.038 0.323
K2 0.000 0.500 0.000
K3 0.500 0.500 0.000
Nd1 0.500 0.500 0.500
O5 0.729 0.458 0.687
Nd2 0.000 0.500 0.500
Pu1 0.000 0.000 0.500
O6 0.253 0.038 0.323
Nd3 0.500 0.000 0.500
O7 0.271 0.542 0.313
O8 0.785 0.570 0.323
```

***

Record 2
Density functional theory data (PBE) for a relaxed structure of Na2Mg.

- DFT total energy (eV per formula unit) = -3.9
- DOS at the Fermi energy (states/eV/f.u.) = 1.7
- DFT formation energy (meV/atom) = 107
- mass density (Mg/m³) = 1.23

The structure in CIF format:
```
data_Na2Mg
_cell_length_a 16.895
_cell_length_b 16.895
_cell_length_c 16.895
_cell_angle_alpha 168.54
_cell_angle_beta 168.54
_cell_angle_gamma 16.23
_space_group_name_H-M_alt 'P 1'
_space_group_IT_number 1
loop_
_space_group_symop_operation_xyz
'x,y,z'
loop_
_atom_site_label
_atom_site_fract_x
_atom_site_fract_y
_atom_site_fract_z
Na1 0.326 0.826 0.500
Na2 0.174 0.674 0.500
Na3 0.424 0.424 0.000
Mg1 0.750 0.250 0.500
Na4 0.576 0.576 0.000
Mg2 0.000 0.000 0.000
```

***

Record 3
Density functional theory data (PBE) for a relaxed structure of Dy6AlHg5.

- DFT total energy (eV per formula unit) = -38.4
- DOS at the Fermi energy (states/eV/f.u.) = 11.3
- DFT formation energy (meV/atom) = -459
- mass density (Mg/m³) = 10.90

The structure in CIF format:
```
data_Dy6AlHg5
_cell_length_a 5.217
_cell_length_b 7.448
_cell_length_c 8.278
_cell_angle_alpha 90.00
_cell_angle_beta 108.26
_cell_angle_gamma 90.00
_space_group_name_H-M_alt 'P 1'
_space_group_IT_number 1
loop_
_space_group_symop_operation_xyz
'x,y,z'
loop_
_atom_site_label
_atom_site_fract_x
_atom_site_fract_y
_atom_site_fract_z
Hg1 0.663 0.000 0.328
Hg2 0.665 0.500 0.331
Dy1 0.165 0.753 0.331
Hg3 0.337 0.000 0.672
Dy2 0.165 0.247 0.331
Dy3 0.835 0.753 0.669
Dy4 0.500 0.247 0.000
Dy5 0.835 0.247 0.669
Dy6 0.500 0.753 0.000
Hg4 0.335 0.500 0.669
Al1 0.000 0.000 0.000
Hg5 0.000 0.500 0.000
```

***

Record 4
Density functional theory data (PBE) for a relaxed structure of Sm4DyTe4.

- DFT total energy (eV per formula unit) = -43.3
- DOS at the Fermi energy (states/eV/f.u.) = 12.1
- formation energy from raw total energies (eV per atom) = -0.81
- mass density (Mg/m³) = 6.63

The structure in CIF format:
```
data_Sm4DyTe4
_cell_length_a 7.886
_cell_length_b 7.886
_cell_length_c 7.577
_cell_angle_alpha 121.36
_cell_angle_beta 121.36
_cell_angle_gamma 90.00
_space_group_name_H-M_alt 'P 1'
_space_group_IT_number 1
loop_
_space_group_symop_operation_xyz
'x,y,z'
loop_
_atom_site_label
_atom_site_fract_x
_atom_site_fract_y
_atom_site_fract_z
Te1 0.090 0.090 0.720
Sm1 0.670 0.670 0.341
Te2 0.910 0.369 0.280
Sm2 0.500 0.000 0.000
Te3 0.631 0.631 0.720
Dy1 0.000 0.000 0.000
Te4 0.369 0.910 0.280
Sm3 0.330 0.330 0.659
Sm4 0.000 0.500 0.000
```

***

Record 5
Density functional theory data (PBE) for a relaxed structure of LaHo3Bi3.

- DFT total energy (eV per formula unit) = -34.8
- DOS at the Fermi energy (states/eV/f.u.) = 5.4
- DFT formation energy (meV/atom) = -648
- mass density (Mg/m³) = 8.89

The structure in CIF format:
```
data_LaHo3Bi3
_cell_length_a 9.309
_cell_length_b 9.309
_cell_length_c 8.259
_cell_angle_alpha 55.70
_cell_angle_beta 55.70
_cell_angle_gamma 60.00
_space_group_name_H-M_alt 'P 1'
_space_group_IT_number 1
loop_
_space_group_symop_operation_xyz
'x,y,z'
loop_
_atom_site_label
_atom_site_fract_x
_atom_site_fract_y
_atom_site_fract_z
Ho1 0.083 0.342 0.754
La1 0.666 0.666 0.003
Ho2 0.179 0.917 0.246
Bi1 0.083 0.706 0.743
Bi2 0.706 0.467 0.743
Ho3 0.342 0.821 0.754
Bi3 0.294 0.533 0.257
Bi4 0.917 0.294 0.257
Ho4 0.917 0.658 0.246
Bi5 0.533 0.917 0.257
Ho5 0.821 0.083 0.754
La2 0.334 0.334 0.997
Bi6 0.467 0.083 0.743
Ho6 0.658 0.179 0.246
```

***

Record 6
Density functional theory data (PBE) for a relaxed structure of Ac4HIr2.

- DFT total energy (eV per formula unit) = -41.5
- DOS at the Fermi energy (states/eV/f.u.) = 3.9
- mass density (Mg/m³) = 9.68

The structure in CIF format:
```
data_Ac4HIr2
_cell_length_a 4.355
_cell_length_b 4.355
_cell_length_c 13.746
_cell_angle_alpha 80.89
_cell_angle_beta 80.89
_cell_angle_gamma 60.00
_space_group_name_H-M_alt 'P 1'
_space_group_IT_number 1
loop_
_space_group_symop_operation_xyz
'x,y,z'
loop_
_atom_site_label
_atom_site_fract_x
_atom_site_fract_y
_atom_site_fract_z
Ir1 0.414 0.414 0.759
Ir2 0.586 0.586 0.241
H1 0.000 0.000 0.000
Ac1 0.881 0.881 0.357
Ac2 0.293 0.293 0.121
Ac3 0.707 0.707 0.879
Ac4 0.119 0.119 0.643
```

***

Record 7
Density functional theory data (PBE) for a relaxed structure of SrLa3Os.

- DFT total energy (eV per formula unit) = -26.4
- DOS at the Fermi energy (states/eV/f.u.) = 6.1
- DFT formation energy (meV/atom) = 250
- mass density (Mg/m³) = 6.23

The structure in CIF format:
```
data_SrLa3Os
_cell_length_a 5.736
_cell_length_b 5.736
_cell_length_c 5.736
_cell_angle_alpha 83.28
_cell_angle_beta 83.28
_cell_angle_gamma 83.28
_space_group_name_H-M_alt 'P 1'
_space_group_IT_number 1
loop_
_space_group_symop_operation_xyz
'x,y,z'
loop_
_atom_site_label
_atom_site_fract_x
_atom_site_fract_y
_atom_site_fract_z
La1 0.588 0.104 0.104
Sr1 0.671 0.671 0.671
La2 0.104 0.104 0.588
Os1 0.407 0.407 0.407
La3 0.104 0.588 0.104
```

***

Record 8
Density functional theory data (PBE) for a relaxed structure of Ce5Tl2In.

- DFT total energy (eV per formula unit) = -38.4
- DOS at the Fermi energy (states/eV/f.u.) = 23.2
- DFT formation energy (meV/atom) = -164
- mass density (Mg/m³) = 8.82

The structure in CIF format:
```
data_Ce5Tl2In
_cell_length_a 6.693
_cell_length_b 6.693
_cell_length_c 6.691
_cell_angle_alpha 108.65
_cell_angle_beta 108.66
_cell_angle_gamma 111.12
_space_group_name_H-M_alt 'P 1'
_space_group_IT_number 1
loop_
_space_group_symop_operation_xyz
'x,y,z'
loop_
_atom_site_label
_atom_site_fract_x
_atom_site_fract_y
_atom_site_fract_z
Ce1 0.278 0.778 0.000
Ce2 0.278 0.278 0.000
Ce3 0.778 0.278 0.000
In1 0.778 0.778 0.000
Ce4 0.278 0.278 0.500
Tl1 0.778 0.278 0.500
Tl2 0.278 0.778 0.500
Ce5 0.778 0.778 0.500
```

***

| no. | size of the total moment (μB per cell) |
| --- | --- |
| 1 | 4.0 |
| 2 | 0.0 |
| 3 | 0.0 |
| 4 | 0.0 |
| 5 | 0.0 |
| 6 | 0.0 |
| 7 | 0.0 |
| 8 | 6.8 |